No. 1
The following is a DFT calculation (PBE-GGA) of a relaxed structure of Mg6ZnB.

ΔH_f (0 K)	0.221	eV/atom
electronic total energy	-1.9693	eV/atom

Cell lengths 4.1799, 6.0637, 6.0637 Å; angles 86.60, 90.00, 90.00 degrees
Closest atoms and distances in Å follow each position.
Element x y z (fractional)
1 Mg 0.0000 0.0000 0.0000  2 B 2.60, 2 Zn 2.75
2 Mg 0.0000 0.3947 0.3947  2 Zn 2.69, 4 Mg 2.96
3 Mg 0.0000 0.5360 0.8887  2 B 2.74, 4 Mg 2.93-3.06
4 Mg 0.0000 0.8887 0.5360  2 B 2.74, 4 Mg 2.93-3.06
5 Mg 0.5000 0.2104 0.6996  1 B 2.42
6 Mg 0.5000 0.6996 0.2104  1 B 2.42
7 Zn 0.5000 0.2028 0.2028  4 Mg 2.69-2.75
8 B 0.5000 0.8243 0.8243  4 Mg 2.42-2.60

No. 2
The following is a DFT calculation (PBE-GGA) of a relaxed structure of MgZnB3.

ΔH_f (0 K)	2.259	eV/atom
electronic total energy	-2.3209	eV/atom

Cell lengths 4.3254, 4.3254, 4.3254 Å; angles 90.00, 90.00, 90.00 degrees
Closest atoms and distances in Å follow each position.
Element x y z (fractional)
1 Mg 0.0000 0.0000 0.0000  6 B 2.16
2 Zn 0.5000 0.5000 0.5000  12 B 3.06
3 B 0.0000 0.0000 0.5000  2 Mg 2.16
4 B 0.0000 0.5000 0.0000  2 Mg 2.16
5 B 0.5000 0.0000 0.0000  2 Mg 2.16

No. 3
The following is a DFT calculation (PBE-GGA) of a relaxed structure of MgZn3B.

ΔH_f (0 K)	0.359	eV/atom
electronic total energy	-2.0595	eV/atom

Cell lengths 4.2832, 4.2832, 4.2832 Å; angles 90.00, 90.00, 90.00 degrees
Closest atoms and distances in Å follow each position.
Element x y z (fractional)
1 Mg 0.0000 0.0000 0.0000  12 Zn 3.03
2 Zn 0.0000 0.5000 0.5000  2 B 2.14
3 Zn 0.5000 0.0000 0.5000  2 B 2.14
4 Zn 0.5000 0.5000 0.0000  2 B 2.14
5 B 0.5000 0.5000 0.5000  6 Zn 2.14

No. 4
The following is a DFT calculation (PBE-GGA) of a relaxed structure of MgZn3B.

ΔH_f (0 K)	1.506	eV/atom
electronic total energy	-0.9126	eV/atom

Cell lengths 4.9946, 4.9946, 4.9946 Å; angles 90.00, 90.00, 90.00 degrees
Closest atoms and distances in Å follow each position.
Element x y z (fractional)
1 Mg 0.0000 0.0000 0.0000  6 Zn 2.50
2 Zn 0.0000 0.0000 0.5000  2 Mg 2.50
3 Zn 0.0000 0.5000 0.0000  2 Mg 2.50
4 Zn 0.5000 0.0000 0.0000  2 Mg 2.50
5 B 0.5000 0.5000 0.5000  12 Zn 3.53

No. 5
The following is a DFT calculation (PBE-GGA) of a relaxed structure of Mg2ZnB.

ΔH_f (0 K)	0.447	eV/atom
electronic total energy	-2.3382	eV/atom

Cell lengths 4.3770, 4.3770, 4.3770 Å; angles 60.00, 60.00, 60.00 degrees
Closest atoms and distances in Å follow each position.
Element x y z (fractional)
1 Mg 0.2500 0.2500 0.2500  4 B 2.68, 4 Zn 2.68
2 Mg 0.7500 0.7500 0.7500  4 B 2.68, 4 Zn 2.68
3 Zn 0.0000 0.0000 0.0000  8 Mg 2.68
4 B 0.5000 0.5000 0.5000  8 Mg 2.68

No. 6
The following is a DFT calculation (PBE-GGA) of a relaxed structure of MgZrB2.

ΔH_f (0 K)	0.841	eV/atom
electronic total energy	-5.0331	eV/atom

Cell lengths 7.7410, 7.7410, 7.7410 Å; angles 149.34, 149.34, 43.92 degrees
Closest atoms and distances in Å follow each position.
Element x y z (fractional)
1 Mg 0.0000 0.0000 0.0000  4 B 2.14
2 Mg 0.7500 0.2500 0.5000  4 B 2.14
3 Zr 0.2500 0.7500 0.5000  4 B 2.54
4 Zr 0.5000 0.5000 0.0000  4 B 2.54
5 B 0.0155 0.6250 0.8905  2 Mg 2.14, 2 B 2.35
6 B 0.3750 0.2655 0.3905  2 Mg 2.14, 2 B 2.35
7 B 0.7345 0.1250 0.1095  2 Mg 2.14, 2 B 2.35
8 B 0.8750 0.9845 0.6095  2 Mg 2.14, 2 B 2.35

No. 7
The following is a DFT calculation (PBE-GGA) of a relaxed structure of Mg2Zr2B.

ΔH_f (0 K)	0.265	eV/atom
electronic total energy	-5.1281	eV/atom

Cell lengths 6.3437, 6.3437, 5.2321 Å; angles 90.00, 90.00, 90.00 degrees
Closest atoms and distances in Å follow each position.
Element x y z (fractional)
1 Mg 0.1599 0.3401 0.0000  1 Mg 2.87, 2 Zr 3.08
2 Mg 0.3401 0.8401 0.0000  1 Mg 2.87, 2 Zr 3.08
3 Mg 0.6599 0.1599 0.0000  1 Mg 2.87, 2 Zr 3.08
4 Mg 0.8401 0.6599 0.0000  1 Mg 2.87, 2 Zr 3.08
5 Zr 0.1587 0.6587 0.5000  2 B 2.39
6 Zr 0.3413 0.1587 0.5000  2 B 2.39
7 Zr 0.6587 0.8413 0.5000  2 B 2.39
8 Zr 0.8413 0.3413 0.5000  2 B 2.39
9 B 0.0000 0.0000 0.5000  4 Zr 2.39
10 B 0.5000 0.5000 0.5000  4 Zr 2.39

No. 8
The following is a DFT calculation (PBE-GGA) of a relaxed structure of Mg14ZrB.

ΔH_f (0 K)	0.184	eV/atom
electronic total energy	-2.1630	eV/atom

Cell lengths 6.3258, 6.3258, 9.8215 Å; angles 90.00, 90.00, 120.00 degrees
Closest atoms and distances in Å follow each position.
Element x y z (fractional)
1 Mg 0.0000 0.0000 0.2391  12 Mg 3.02-3.18
2 Mg 0.0000 0.0000 0.7609  12 Mg 3.02-3.18
3 Mg 0.0199 0.5100 0.2657  1 B 2.87, 8 Mg 2.97-3.20, 1 Zr 3.12
4 Mg 0.0199 0.5100 0.7343  1 B 2.87, 8 Mg 2.97-3.20, 1 Zr 3.12
5 Mg 0.3238 0.1619 0.5000  10 Mg 2.99-3.25, 2 B 3.16
6 Mg 0.3466 0.1733 0.0000  10 Mg 3.02-3.29, 2 Zr 3.16
7 Mg 0.4900 0.5100 0.2657  1 B 2.87, 8 Mg 2.97-3.20, 1 Zr 3.12
8 Mg 0.4900 0.5100 0.7343  1 B 2.87, 8 Mg 2.97-3.20, 1 Zr 3.12
9 Mg 0.4900 0.9801 0.2657  1 B 2.87, 8 Mg 2.97-3.20, 1 Zr 3.12
10 Mg 0.4900 0.9801 0.7343  1 B 2.87, 8 Mg 2.97-3.20, 1 Zr 3.12
11 Mg 0.8267 0.1733 0.0000  10 Mg 3.02-3.29, 2 Zr 3.16
12 Mg 0.8267 0.6534 0.0000  10 Mg 3.02-3.29, 2 Zr 3.16
13 Mg 0.8381 0.1619 0.5000  10 Mg 2.99-3.25, 2 B 3.16
14 Mg 0.8381 0.6762 0.5000  10 Mg 2.99-3.25, 2 B 3.16
15 Zr 0.3333 0.6667 0.0000  12 Mg 3.12-3.16
16 B 0.3333 0.6667 0.5000  12 Mg 2.87-3.16

No. 9
The following is a DFT calculation (PBE-GGA) of a relaxed structure of Mg6ZrB.

ΔH_f (0 K)	0.308	eV/atom
electronic total energy	-2.7914	eV/atom

Cell lengths 4.5949, 6.7845, 6.7845 Å; angles 48.22, 90.00, 90.00 degrees
Closest atoms and distances in Å follow each position.
Element x y z (fractional)
1 Mg 0.0000 0.0000 0.0000  8 Mg 2.86-3.20, 2 Zr 3.00
2 Mg 0.0000 0.4420 0.4420  4 Mg 2.86-2.92, 2 B 2.94
3 Mg 0.0000 0.4816 0.9855  5 Mg 2.75-2.92, 2 B 2.78, 2 Zr 3.02
4 Mg 0.0000 0.9855 0.4816  5 Mg 2.75-2.92, 2 B 2.78, 2 Zr 3.02
5 Mg 0.5000 0.3482 0.8441  6 Mg 2.75-2.94, 1 B 2.82
6 Mg 0.5000 0.8441 0.3482  6 Mg 2.75-2.94, 1 B 2.82
7 Zr 0.5000 0.8441 0.8441  2 B 2.84, 6 Mg 3.00-3.02
8 B 0.5000 0.2943 0.2943  8 Mg 2.78-2.94, 2 Zr 2.84

No. 10
The following is a DFT calculation (PBE-GGA) of a relaxed structure of MgZrB.

ΔH_f (0 K)	-0.490	eV/atom
electronic total energy	-6.0966	eV/atom

Cell lengths 3.2101, 3.2102, 11.3326 Å; angles 90.00, 90.01, 120.00 degrees
Closest atoms and distances in Å follow each position.
Element x y z (fractional)
1 Mg 0.0000 0.0000 0.0000  9 Mg 3.20-3.21, 3 Zr 3.25
2 Mg 0.3319 0.6664 0.2299  9 Mg 3.20-3.21, 3 Zr 3.24-3.25
3 Zr 0.6644 0.3305 0.4652  6 B 2.51
4 Zr 0.6646 0.3305 0.7645  6 B 2.51
5 B 0.3311 0.6637 0.6151  3 B 1.85
6 B 0.9978 0.9971 0.6146  3 B 1.85

No. 11
The following is a DFT calculation (PBE-GGA) of a relaxed structure of MgZr2B2.

ΔH_f (0 K)	-0.470	eV/atom
electronic total energy	-6.8793	eV/atom

Cell lengths 6.4318, 6.4318, 3.4782 Å; angles 90.00, 90.00, 90.00 degrees
Closest atoms and distances in Å follow each position.
Element x y z (fractional)
1 Mg 0.0000 0.0000 0.0000  4 B 2.67, 8 Zr 2.93
2 Mg 0.5000 0.5000 0.0000  4 B 2.67, 8 Zr 2.93
3 Zr 0.1800 0.3200 0.5000  6 B 2.55-2.67
4 Zr 0.3200 0.8200 0.5000  6 B 2.55-2.67
5 Zr 0.6800 0.1800 0.5000  6 B 2.55-2.67
6 Zr 0.8200 0.6800 0.5000  6 B 2.55-2.67
7 B 0.0967 0.5967 0.0000  1 B 1.76
8 B 0.4033 0.0967 0.0000  1 B 1.76
9 B 0.5967 0.9033 0.0000  1 B 1.76
10 B 0.9033 0.4033 0.0000  1 B 1.76

No. 12
The following is a DFT calculation (PBE-GGA) of a relaxed structure of MgZr2B.

ΔH_f (0 K)	-0.024	eV/atom
electronic total energy	-6.3663	eV/atom

Cell lengths 9.1637, 9.1637, 9.1637 Å; angles 21.30, 21.30, 21.30 degrees
Closest atoms and distances in Å follow each position.
Element x y z (fractional)
1 Mg 0.0000 0.0000 0.0000  2 Zr 3.19, 6 Mg 3.39
2 Zr 0.1188 0.1188 0.1188  3 B 2.34
3 Zr 0.8812 0.8812 0.8812  3 B 2.34
4 B 0.5000 0.5000 0.5000  6 Zr 2.34